Version a
MnI3O: relaxed, GGA+U.

Calculated values
The density is 4.289 g/cm³. Its total moment is 4.5 μB per formula unit.

Unit cell a=5.5921 b=5.5921 c=5.5921 alpha=90.00 beta=90.00 gamma=90.00
With the nearest neighbours (Å) after each atom.
Sites, in units of the cell vectors:
1 Mn 0.0000 0.0000 0.0000  6 I 2.80
2 I 0.0000 0.0000 0.5000  2 Mn 2.80
3 I 0.0000 0.5000 0.0000  2 Mn 2.80
4 I 0.5000 0.0000 0.0000  2 Mn 2.80
5 O 0.5000 0.5000 0.5000  12 I 3.95

Version b
MnI3O: relaxed, GGA+U.

Calculated values
The density is 5.623 g/cm³. Its total moment is 5.4 μB per formula unit.

Unit cell a=5.1094 b=5.1094 c=5.1094 alpha=90.00 beta=90.00 gamma=90.00
With the nearest neighbours (Å) after each atom.
Sites, in units of the cell vectors:
1 Mn 0.0000 0.0000 0.0000  12 I 3.61
2 I 0.0000 0.5000 0.5000  2 O 2.55
3 I 0.5000 0.0000 0.5000  2 O 2.55
4 I 0.5000 0.5000 0.0000  2 O 2.55
5 O 0.5000 0.5000 0.5000  6 I 2.55

Short version: version a is the least stable of them.

Version a
Mn2IO: relaxed, GGA+U.

Calculated values
The density is 4.621 g/cm³. Its total moment is 9.2 μB per formula unit.

Unit cell a=6.9406 b=6.9406 c=6.9406 alpha=131.87 beta=131.87 gamma=70.43
With the nearest neighbours (Å) after each atom.
Sites, in units of the cell vectors:
1 Mn 0.3750 0.2133 0.3383  2 O 2.06
2 Mn 0.7867 0.1250 0.1617  2 O 2.06
3 Mn 0.8750 0.0367 0.6617  2 O 2.06
4 Mn 0.9633 0.6250 0.8383  2 O 2.06
5 I 0.2500 0.7500 0.5000  4 Mn 3.07
6 I 0.5000 0.5000 0.0000  4 Mn 3.07
7 O 0.0000 0.0000 0.0000  4 Mn 2.06
8 O 0.7500 0.2500 0.5000  4 Mn 2.06

Version b
Mn2IO: relaxed, GGA+U.

Calculated values
The density is 5.778 g/cm³. Its total moment is 9.4 μB per formula unit.

Unit cell a=4.6834 b=4.6834 c=4.6834 alpha=60.00 beta=60.00 gamma=60.00
With the nearest neighbours (Å) after each atom.
Sites, in units of the cell vectors:
1 Mn 0.2500 0.2500 0.2500  4 O 2.87, 4 I 2.87
2 Mn 0.7500 0.7500 0.7500  4 O 2.87, 4 I 2.87
3 I 0.0000 0.0000 0.0000  8 Mn 2.87
4 O 0.5000 0.5000 0.5000  8 Mn 2.87

Short version: version b is the least stable of them.

Version a
MnIO4: relaxed, GGA+U.

Calculated values
The density is 5.725 g/cm³. Its total moment is 4.0 μB per formula unit.

Unit cell a=6.4187 b=6.4187 c=5.1190 alpha=111.59 beta=111.59 gamma=113.78
With the nearest neighbours (Å) after each atom.
Sites, in units of the cell vectors:
1 Mn 0.0693 0.9307 0.7500  4 O 1.92-2.07
2 Mn 0.9307 0.0693 0.2500  4 O 1.92-2.07
3 I 0.3483 0.6517 0.2500  6 O 2.08-2.27
4 I 0.6517 0.3483 0.7500  6 O 2.08-2.27
5 O 0.0512 0.6302 0.8688  2 I 2.08-2.13, 1 Mn 2.20
6 O 0.2114 0.2824 0.7483  2 Mn 1.92-2.07
7 O 0.2824 0.2114 0.2483  2 Mn 1.92-2.07
8 O 0.3698 0.9488 0.6312  2 I 2.08-2.13, 1 Mn 2.20
9 O 0.6302 0.0512 0.3688  2 I 2.08-2.13, 1 Mn 2.20
10 O 0.7176 0.7886 0.7517  2 Mn 1.92-2.07
11 O 0.7886 0.7176 0.2517  2 Mn 1.92-2.07
12 O 0.9488 0.3698 0.1312  2 I 2.08-2.13, 1 Mn 2.20

Version b
MnIO4: relaxed, GGA+U.

Calculated values
The density is 5.018 g/cm³. Its total moment is 4.0 μB per formula unit.

Unit cell a=4.9639 b=4.6932 c=13.9695 alpha=90.00 beta=90.20 gamma=90.00
With the nearest neighbours (Å) after each atom.
Sites, in units of the cell vectors:
1 Mn 0.2494 0.0054 0.3177  3 O 1.90-2.08
2 Mn 0.2494 0.4946 0.8177  3 O 1.90-2.08
3 Mn 0.7506 0.5054 0.1823  3 O 1.90-2.08
4 Mn 0.7506 0.9946 0.6823  3 O 1.90-2.08
5 I 0.2504 0.0043 0.0976  4 O 1.88-2.02
6 I 0.2504 0.4957 0.5976  4 O 1.88-2.02
7 I 0.7496 0.5043 0.4024  4 O 1.88-2.02
8 I 0.7496 0.9957 0.9024  4 O 1.88-2.02
9 O 0.0452 0.7280 0.9136  1 I 1.94, 1 Mn 2.01
10 O 0.0452 0.7720 0.4136  1 I 1.94, 1 Mn 2.01
11 O 0.0839 0.6978 0.6994  1 I 1.90, 1 Mn 2.08
12 O 0.0839 0.8022 0.1994  1 I 1.90, 1 Mn 2.08
13 O 0.4214 0.2110 0.1961  1 I 1.88
14 O 0.4214 0.2890 0.6961  1 I 1.88
15 O 0.4386 0.2268 0.4101  1 Mn 1.90, 1 I 2.02
16 O 0.4386 0.2732 0.9101  1 Mn 1.90, 1 I 2.02
17 O 0.5614 0.7268 0.0899  1 Mn 1.90, 1 I 2.02
18 O 0.5614 0.7732 0.5899  1 Mn 1.90, 1 I 2.02
19 O 0.5786 0.7110 0.3039  1 I 1.88
20 O 0.5786 0.7890 0.8039  1 I 1.88
21 O 0.9161 0.1978 0.8006  1 I 1.90, 1 Mn 2.08
22 O 0.9161 0.3022 0.3006  1 I 1.90, 1 Mn 2.08
23 O 0.9548 0.2280 0.5864  1 I 1.94, 1 Mn 2.01
24 O 0.9548 0.2720 0.0864  1 I 1.94, 1 Mn 2.01

Short version: version a is the least stable of them.

Version a
MnI2O: relaxed, GGA+U.

Calculated values
The density is 5.754 g/cm³. Its total moment is 3.0 μB per formula unit.

Unit cell a=5.0985 b=5.0985 c=5.0985 alpha=60.00 beta=60.00 gamma=60.00
With the nearest neighbours (Å) after each atom.
Sites, in units of the cell vectors:
1 Mn 0.0000 0.0000 0.0000  8 I 3.12
2 I 0.2500 0.2500 0.2500  4 O 3.12, 4 Mn 3.12
3 I 0.7500 0.7500 0.7500  4 O 3.12, 4 Mn 3.12
4 O 0.5000 0.5000 0.5000  8 I 3.12

Version b
MnI2O: relaxed, GGA+U.

Calculated values
The density is 4.556 g/cm³. Its total moment is 3.0 μB per formula unit.

Unit cell a=6.8171 b=6.8171 c=6.8171 alpha=115.52 beta=115.52 gamma=97.95
With the nearest neighbours (Å) after each atom.
Sites, in units of the cell vectors:
1 Mn 0.0000 0.0000 0.0000  4 I 2.77
2 Mn 0.7500 0.2500 0.5000  4 I 2.77
3 I 0.1170 0.6250 0.9920  2 Mn 2.77, 2 O 2.84
4 I 0.3750 0.3670 0.4920  2 Mn 2.77, 2 O 2.84
5 I 0.6330 0.1250 0.0080  2 Mn 2.77, 2 O 2.84
6 I 0.8750 0.8830 0.5080  2 Mn 2.77, 2 O 2.84
7 O 0.2500 0.7500 0.5000  4 I 2.84
8 O 0.5000 0.5000 0.0000  4 I 2.84

Short version: version a is the least stable of them.

Version a
Mn3IO: relaxed, GGA+U.

Calculated values
The density is 3.029 g/cm³. Its total moment is 15.6 μB per formula unit.

Unit cell a=5.5253 b=5.5253 c=5.5253 alpha=90.00 beta=90.00 gamma=90.00
With the nearest neighbours (Å) after each atom.
Sites, in units of the cell vectors:
1 Mn 0.0000 0.0000 0.5000  2 I 2.76
2 Mn 0.0000 0.5000 0.0000  2 I 2.76
3 Mn 0.5000 0.0000 0.0000  2 I 2.76
4 I 0.0000 0.0000 0.0000  6 Mn 2.76
5 O 0.5000 0.5000 0.5000  12 Mn 3.91

Version b
Mn3IO: relaxed, GGA+U.

Calculated values
The density is 5.208 g/cm³. Its total moment is 13.9 μB per formula unit.

Unit cell a=4.6122 b=4.6122 c=4.6122 alpha=90.00 beta=90.00 gamma=90.00
With the nearest neighbours (Å) after each atom.
Sites, in units of the cell vectors:
1 Mn 0.0000 0.0000 0.5000  2 O 2.31
2 Mn 0.0000 0.5000 0.0000  2 O 2.31
3 Mn 0.5000 0.0000 0.0000  2 O 2.31
4 I 0.5000 0.5000 0.5000  12 Mn 3.26
5 O 0.0000 0.0000 0.0000  6 Mn 2.31

Short version: version a is the least stable of them.

Version a
MnOsI2O: relaxed, GGA+U.

Calculated values
The density is 7.104 g/cm³. Its total moment is 5.8 μB per formula unit.

Unit cell a=5.6555 b=5.6555 c=3.7637 alpha=90.00 beta=90.00 gamma=90.00
With the nearest neighbours (Å) after each atom.
Sites, in units of the cell vectors:
1 Mn 0.0000 0.0000 0.0000  8 I 3.40, 2 Mn 3.76
2 Os 0.5000 0.5000 0.5000  2 O 1.88
3 I 0.0000 0.5000 0.5000  2 Os 2.83
4 I 0.5000 0.0000 0.5000  2 Os 2.83
5 O 0.5000 0.5000 0.0000  2 Os 1.88

Version b
MnOsI2O: relaxed, GGA+U.

Calculated values
The density is 7.923 g/cm³. Its total moment is 3.0 μB per formula unit.

Unit cell a=5.4967 b=5.4967 c=3.5721 alpha=90.00 beta=90.00 gamma=90.00
With the nearest neighbours (Å) after each atom.
Sites, in units of the cell vectors:
1 Mn 0.0000 0.0000 0.0000  2 O 1.79
2 Os 0.5000 0.5000 0.5000  8 I 3.28, 2 Os 3.57
3 I 0.0000 0.5000 0.0000  2 Mn 2.75
4 I 0.5000 0.0000 0.0000  2 Mn 2.75
5 O 0.0000 0.0000 0.5000  2 Mn 1.79

Short version: version b is the least stable of them.

Version a
MnOsIO2: relaxed, GGA+U.

Calculated values
The density is 6.807 g/cm³. Its total moment is 4.8 μB per formula unit.

Unit cell a=3.7680 b=3.7680 c=6.9427 alpha=90.00 beta=90.00 gamma=90.00
With the nearest neighbours (Å) after each atom.
Sites, in units of the cell vectors:
1 Mn 0.0000 0.0000 0.0000  4 O 1.88
2 Os 0.5000 0.5000 0.5000  4 I 2.66
3 I 0.0000 0.0000 0.5000  4 Os 2.66
4 O 0.0000 0.5000 0.0000  2 Mn 1.88
5 O 0.5000 0.0000 0.0000  2 Mn 1.88

Version b
MnOsIO2: relaxed, GGA+U.

Calculated values
The density is 5.814 g/cm³. Its total moment is 4.9 μB per formula unit.

Unit cell a=3.8167 b=3.8167 c=7.9220 alpha=90.00 beta=90.00 gamma=90.00
With the nearest neighbours (Å) after each atom.
Sites, in units of the cell vectors:
1 Mn 0.0000 0.0000 0.0000  4 I 2.70
2 Os 0.5000 0.5000 0.5000  4 O 1.91
3 I 0.5000 0.5000 0.0000  4 Mn 2.70
4 O 0.0000 0.5000 0.5000  2 Os 1.91
5 O 0.5000 0.0000 0.5000  2 Os 1.91

Short version: version a is the least stable of them.

Version a
MnP2IO: relaxed, GGA+U.

Calculated values
The density is 5.281 g/cm³. Its total moment is 0.0 μB per formula unit.

Unit cell a=4.8137 b=4.8137 c=3.5251 alpha=90.00 beta=90.00 gamma=90.00
With the nearest neighbours (Å) after each atom.
Sites, in units of the cell vectors:
1 Mn 0.0000 0.0000 0.0000  2 O 1.76
2 P 0.0000 0.5000 0.0000  2 Mn 2.41
3 P 0.5000 0.0000 0.0000  2 Mn 2.41
4 I 0.5000 0.5000 0.5000  8 P 2.98
5 O 0.0000 0.0000 0.5000  2 Mn 1.76

Version b
MnP2IO: relaxed, GGA+U.

Calculated values
The density is 4.110 g/cm³. Its total moment is 4.3 μB per formula unit.

Unit cell a=5.1656 b=5.1656 c=3.9334 alpha=90.00 beta=90.00 gamma=90.00
With the nearest neighbours (Å) after each atom.
Sites, in units of the cell vectors:
1 Mn 0.0000 0.0000 0.0000  8 P 3.25
2 P 0.0000 0.5000 0.5000  2 I 2.58
3 P 0.5000 0.0000 0.5000  2 I 2.58
4 I 0.5000 0.5000 0.5000  2 O 1.97
5 O 0.5000 0.5000 0.0000  2 I 1.97

Short version: version b is the least stable of them.